# Y2ErTi, optimized geometry, DFT PBE
# energy of formation from the pure elements = 0.1770 eV per atom
# space group = No. 123
data_Y2ErTi
_chemical_formula_sum 'Y2 Er1 Ti1'
_symmetry_space_group_name_H-M 'P 1'
_symmetry_Int_Tables_number 1
_cell_length_a 3.412
_cell_length_b 3.412
_cell_length_c 9.492
_cell_angle_alpha 90.00
_cell_angle_beta 90.00
_cell_angle_gamma 90.00
loop_
_symmetry_equiv_pos_as_xyz
'x,y,z'
loop_
_atom_site_label
_atom_site_type_symbol
_atom_site_fract_x
_atom_site_fract_y
_atom_site_fract_z
Er1 Er 0.500 0.500 0.500
Y1 Y 0.000 0.000 0.779
Y2 Y 0.000 0.000 0.221
Ti1 Ti 0.500 0.500 0.000

# Sc4PtAu, optimized geometry, DFT PBE
# energy of formation from the pure elements = -0.6404 eV per atom
# space group = No. 123
data_Sc4PtAu
_chemical_formula_sum 'Sc4 Pt1 Au1'
_symmetry_space_group_name_H-M 'P 1'
_symmetry_Int_Tables_number 1
_cell_length_a 4.614
_cell_length_b 4.615
_cell_length_c 6.533
_cell_angle_alpha 89.99
_cell_angle_beta 89.99
_cell_angle_gamma 90.00
loop_
_symmetry_equiv_pos_as_xyz
'x,y,z'
loop_
_atom_site_label
_atom_site_type_symbol
_atom_site_fract_x
_atom_site_fract_y
_atom_site_fract_z
Sc1 Sc 0.001 0.497 0.256
Sc2 Sc 0.501 0.997 0.256
Au1 Au 0.501 0.497 0.998
Pt1 Pt 0.001 0.997 0.498
Sc3 Sc 0.501 0.997 0.740
Sc4 Sc 0.001 0.497 0.740

# CdAsH, optimized geometry, DFT PBE
# space group = No. 62
data_CdAsH
_chemical_formula_sum 'Cd4 As4 H4'
_symmetry_space_group_name_H-M 'P 1'
_symmetry_Int_Tables_number 1
_cell_length_a 7.347
_cell_length_b 7.344
_cell_length_c 4.468
_cell_angle_alpha 90.00
_cell_angle_beta 90.00
_cell_angle_gamma 90.00
loop_
_symmetry_equiv_pos_as_xyz
'x,y,z'
loop_
_atom_site_label
_atom_site_type_symbol
_atom_site_fract_x
_atom_site_fract_y
_atom_site_fract_z
H1 H 0.092 0.250 0.515
Cd1 Cd 0.500 0.500 0.500
As1 As 0.396 0.250 0.117
H2 H 0.408 0.750 0.015
Cd2 Cd 0.500 0.000 0.500
As2 As 0.896 0.250 0.383
H3 H 0.908 0.750 0.485
H4 H 0.592 0.250 0.985
As3 As 0.604 0.750 0.883
Cd3 Cd 0.000 0.000 0.000
Cd4 Cd 0.000 0.500 0.000
As4 As 0.104 0.750 0.617

no.,DFT total energy (eV/atom)
1,-6.17
2,-6.41
3,-2.90